[1]
# KLi3Ca

A relaxed KLi3Ca crystal (PBE-GGA, Alexandria via LeMat-Bulk).

Output
Its excess energy over the best structure of this formula in the dataset is 0.06 eV per formula unit.

Cell: 5.622 5.622 5.622 Å, 90.00 90.00 90.00°
Sites, in units of the cell vectors:
1 K 0.000 0.000 0.000
2 Li 0.000 0.000 0.500
3 Li 0.000 0.500 0.000
4 Li 0.500 0.000 0.000
5 Ca 0.500 0.500 0.500

---

[2]
# KLi2Ca

A relaxed KLi2Ca crystal (PBE-GGA, Alexandria via LeMat-Bulk).

Output
Its excess energy over the best structure of this formula in the dataset is 0.18 eV per formula unit.

Cell: 6.131 6.131 3.916 Å, 90.10 90.10 90.90°
Sites, in units of the cell vectors:
1 K 0.000 0.000 0.000
2 Li 0.000 0.500 0.500
3 Li 0.500 0.000 0.500
4 Ca 0.500 0.500 0.000

---

[3]
# K3LiCa

A relaxed K3LiCa crystal (PBE-GGA, Alexandria via LeMat-Bulk).

Output
Its excess energy over the best structure of this formula in the dataset is 1.18 eV per formula unit.

Cell: 7.516 7.516 7.516 Å, 90.00 90.00 90.00°
Sites, in units of the cell vectors:
1 K 0.000 0.000 0.500
2 K 0.000 0.500 0.000
3 K 0.500 0.000 0.000
4 Li 0.500 0.500 0.500
5 Ca 0.000 0.000 0.000

---

[4]
# KLi2Ca

A relaxed KLi2Ca crystal (PBE-GGA, Alexandria via LeMat-Bulk).

Output
Its excess energy over the best structure of this formula in the dataset is 0.37 eV per formula unit.

Cell: 6.878 6.878 6.878 Å, 137.51 137.51 61.66°
Sites, in units of the cell vectors:
1 K 0.000 0.000 0.000
2 Li 0.250 0.750 0.500
3 Li 0.500 0.500 0.000
4 Ca 0.750 0.250 0.500

---

[5]
# KLi2Ca

A relaxed KLi2Ca crystal (PBE-GGA, Alexandria via LeMat-Bulk).

Output
Its excess energy over the best structure of this formula in the dataset is 0.02 eV per formula unit.

Cell: 4.006 4.234 8.858 Å, 90.00 90.45 90.00°
Sites, in units of the cell vectors:
1 K 0.000 0.000 0.000
2 Li 0.499 0.500 0.297
3 Li 0.501 0.500 0.703
4 Ca 0.000 0.000 0.500

---

[6]
# K2LiCa2

A relaxed K2LiCa2 crystal (PBE-GGA, Alexandria via LeMat-Bulk).

Output
For the final energy, the calculation gives -13.8 eV/cell.

Cell: 8.567 8.567 6.939 Å, 90.00 90.00 90.00°
Sites, in units of the cell vectors:
1 K 0.173 0.327 0.000
2 K 0.327 0.827 0.000
3 K 0.673 0.173 0.000
4 K 0.827 0.673 0.000
5 Li 0.000 0.000 0.500
6 Li 0.500 0.500 0.500
7 Ca 0.156 0.656 0.500
8 Ca 0.344 0.156 0.500
9 Ca 0.656 0.844 0.500
10 Ca 0.844 0.344 0.500

---

no.,density (g/cm3)
1,0.9
2,1.0
3,0.6
4,1.1
5,1.0
6,1.1